Below is an optimized crystal structure of Pm3SbO3, with properties calculated at the PBE-GGA level.

For the energy above the most stable polymorph in this dataset, the calculation gives 0.045 eV/atom. As for the uncorrected formation energy: -252.1 kJ per mole of atoms.

The space group is P6_3/m (No. 176) and the conventional cell measures 8.7595, 8.7595 and 4.4783 Å, with angles of 90.00, 90.00 and 120.00 degrees. Symmetry generates all atoms from Pm at (0.0599, 0.7316, 0.2500), Sb at (0.3333, 0.6667, 0.7500) and O at (0.0273, 0.7864, 0.7500).

=====

Below is an optimized crystal structure of La2CdGaCo, with properties calculated at the PBE-GGA level.

The value obtained for the formation enthalpy at 0 K is -32.96 kJ/mol of atoms.

The space group is P4/mmm (No. 123) and the conventional cell measures 5.309, 5.309 and 4.650 Å, with angles of 90.00, 90.00 and 90.00 degrees. Symmetry generates all atoms from La at (0.000, 0.500, 0.000), Cd at (0.000, 0.000, 0.500), Ga at (0.500, 0.500, 0.500) and Co at (0.500, 0.500, 0.000).

=====

Below is an optimized crystal structure of CdPb2W, with properties calculated at the PBE-GGA level.

The value obtained for the formation enthalpy at 0 K is 90.11 kJ/mol of atoms.

The space group is I4/mmm (No. 139) and the conventional cell measures 4.570, 4.570 and 8.884 Å, with angles of 90.00, 90.00 and 90.00 degrees. Symmetry generates all atoms from Cd at (0.000, 0.000, 0.000), Pb at (0.000, 0.500, 0.250) and W at (0.000, 0.000, 0.500).

=====

Below is an optimized crystal structure of Pm2HoAlC, with properties calculated at the PBE-GGA level.

The value obtained for the formation enthalpy at 0 K is -27.25 kJ/mol of atoms.

The space group is P4/mmm (No. 123) and the conventional cell measures 5.054, 5.054 and 4.860 Å, with angles of 90.00, 90.00 and 90.00 degrees. Symmetry generates all atoms from Pm at (0.000, 0.500, 0.000), Ho at (0.000, 0.000, 0.500), Al at (0.500, 0.500, 0.500) and C at (0.000, 0.000, 0.000).

=====

Below is an optimized crystal structure of Cs2Ba2Zn, with properties calculated at the PBE-GGA level.

The value obtained for the formation enthalpy at 0 K is 14.81 kJ/mol of atoms.

The space group is P4/mbm (No. 127) and the conventional cell measures 9.088, 9.088 and 8.215 Å, with angles of 90.00, 90.00 and 90.00 degrees. Symmetry generates all atoms from Cs at (0.182, 0.318, 0.000), Ba at (0.176, 0.676, 0.500) and Zn at (0.000, 0.000, 0.500).

=====

Below is an optimized crystal structure of AlTl3Se3, with properties calculated at the PBE-GGA level.

For the energy above the most stable polymorph in this dataset, the calculation gives 0.012 eV/atom. As for the uncorrected formation energy: -56.4 kJ per mole of atoms.

The space group is C2/m (No. 12) and the conventional cell measures 8.102, 12.430 and 8.926 Å, with angles of 90.00, 105.90 and 90.00 degrees. Symmetry generates all atoms from Al at (0.154, 0.000, 0.154), Tl at (0.000, 0.166, 0.500), Tl at (0.000, 0.281, 0.000), Tl at (0.115, 0.500, 0.370), Se at (0.155, 0.000, 0.882) and Se at (0.206, 0.342, 0.717).

=====

Below is an optimized crystal structure of Ce5Mg4, with properties calculated at the PBE-GGA level.

The value obtained for the formation enthalpy at 0 K is 3.24 kJ/mol of atoms.

The space group is I4/mmm (No. 139) and the conventional cell measures 11.800, 11.800 and 3.246 Å, with angles of 90.00, 90.00 and 90.00 degrees. Symmetry generates all atoms from Ce at (0.000, 0.000, 0.000), Ce at (0.173, 0.173, 0.500) and Mg at (0.000, 0.347, 0.000).

=====

Below is an optimized crystal structure of Ac3SmS, with properties calculated at the PBE-GGA level.

As for the uncorrected formation energy: -63.2 kJ per mole of atoms.

The space group is Pm-3m (No. 221) and the conventional cell measures 5.841, 5.841 and 5.841 Å, with angles of 90.00, 90.00 and 90.00 degrees. Symmetry generates all atoms from Ac at (0.000, 0.000, 0.500), Sm at (0.500, 0.500, 0.500) and S at (0.000, 0.000, 0.000).

=====

Below is an optimized crystal structure of Ag7Te2SeCl2, with properties calculated at the PBE-GGA level.

As for the uncorrected formation energy: -11.3 kJ per mole of atoms.

The space group is Imm2 (No. 44) and the conventional cell measures 4.456, 28.078 and 5.312 Å, with angles of 90.00, 90.00 and 90.00 degrees. Symmetry generates all atoms from Ag at (0.000, 0.000, 0.000), Ag at (0.000, 0.089, 0.269), Ag at (0.000, 0.218, 0.773), Ag at (0.000, 0.432, 0.414), Te at (0.000, 0.119, 0.754), Se at (0.000, 0.500, 0.774) and Cl at (0.000, 0.228, 0.273).

=====

Below is an optimized crystal structure of Ba7Tl2Au2, with properties calculated at the PBE-GGA level.

For the energy above the most stable polymorph in this dataset, the calculation gives 0.036 eV/atom. The value obtained for the formation enthalpy at 0 K is -34.48 kJ/mol of atoms.

The space group is Cmmm (No. 65) and the conventional cell measures 9.340, 12.924 and 8.323 Å, with angles of 90.00, 90.00 and 90.00 degrees. Symmetry generates all atoms from Ba at (0.000, 0.000, 0.000), Ba at (0.000, 0.500, 0.254), Ba at (0.250, 0.250, 0.262), Tl at (0.165, 0.000, 0.500) and Au at (0.000, 0.294, 0.000).

=====

Below is an optimized crystal structure of La8Pd5Au, with properties calculated at the PBE-GGA level.

The value obtained for the formation enthalpy at 0 K is -66.00 kJ/mol of atoms.

The space group is I-4 (No. 82) and the conventional cell measures 9.282, 9.282 and 9.156 Å, with angles of 90.00, 90.00 and 90.00 degrees. Symmetry generates all atoms from La at (0.058, 0.195, 0.182), La at (0.059, 0.315, 0.571), Pd at (0.000, 0.500, 0.250), Pd at (0.128, 0.248, 0.875) and Au at (0.000, 0.000, 0.500).

=====

Below is an optimized crystal structure of Na3MnI6, with properties calculated at the PBE-GGA level.

As for the uncorrected formation energy: -80.1 kJ per mole of atoms.

The space group is P2_1/c (No. 14) and the conventional cell measures 7.618, 8.415 and 13.051 Å, with angles of 90.00, 120.29 and 90.00 degrees. Symmetry generates all atoms from Na at (0.000, 0.000, 0.000), Na at (0.180, 0.094, 0.730), Mn at (0.500, 0.000, 0.500), I at (0.168, 0.166, 0.458), I at (0.236, 0.697, 0.410) and I at (0.424, 0.065, 0.278).

=====

What did the ninth record say?
Below is an optimized crystal structure of Ag7Te2SeCl2, with properties calculated at the PBE-GGA level.

As for the uncorrected formation energy: -11.3 kJ per mole of atoms.

The space group is Imm2 (No. 44) and the conventional cell measures 4.456, 28.078 and 5.312 Å, with angles of 90.00, 90.00 and 90.00 degrees. Symmetry generates all atoms from Ag at (0.000, 0.000, 0.000), Ag at (0.000, 0.089, 0.269), Ag at (0.000, 0.218, 0.773), Ag at (0.000, 0.432, 0.414), Te at (0.000, 0.119, 0.754), Se at (0.000, 0.500, 0.774) and Cl at (0.000, 0.228, 0.273).